A relaxed structure of AlPBrO2, computed with GGA-PBEsol.

Properties
As for the uncorrected formation energy: -0.730 eV/atom. Its space-group type is P4/mmm. The value obtained for the density is 3.85 g/cm3. For the raw total energy, the calculation gives -25.90 eV for the cell shown.

Cell lengths 3.5832, 3.5832, 5.7034 Å; angles 90.00, 90.00, 90.00 degrees
Closest atoms and distances in Å follow each position.
Element x y z (fractional)
Al  0.0000  0.0000  0.0000  4 O 1.79
P  0.0000  0.0000  0.5000  4 Br 2.53
Br  0.5000  0.5000  0.5000  4 P 2.53
O  0.0000  0.5000  0.0000  2 Al 1.79
O  0.5000  0.0000  0.0000  2 Al 1.79